Material: VBiPbO5
Method: DFT, PBE with a Hubbard U
State: optimized geometry

Summary:
Density: 6.25 Mg/m³
Uncorrected energy: -6.476 eV per atom
Volume: 581.0 Å³ per cell
Density of states at the Fermi level: 0.00 states/eV per cell
Excess energy over the best structure of this formula in the dataset: 73 kJ/mol of formula units

abc: 7.441 10.373 7.527
angles: 90.00 90.46 90.00
Space group C2/c (No. 15)
One atom of each set of equivalent atoms:
1 V 0.000 0.237 0.250 x4
2 Bi 0.000 0.149 0.750 x4
3 Pb 0.000 0.500 0.000 x4
4 O 0.000 0.350 0.750 x4
5 O 0.014 0.142 0.436 x8
6 O 0.180 0.351 0.239 x8